Here is a relaxed structure of NaTaZnO4 from the Alexandria database. Energies are from PBE.

```
NaTaZnO4
1.0
-3.0781 3.1034 4.8249
3.0781 -3.1034 4.8249
3.0781 3.1034 -4.8249
Na Ta Zn O
2 2 2 8
Cartesian
0.0000 1.5517 1.4416
3.0781 1.5517 3.3833
3.0781 0.0000 0.0000
0.0000 0.0000 4.8249
1.5390 1.5517 -2.4124
1.5390 -1.5517 2.4124
3.0781 -0.2056 1.9872
1.7697 1.5517 0.0549
4.3865 1.5517 0.0549
3.0781 2.8978 -1.9872
0.0000 0.2056 6.8120
-1.3084 1.5517 4.7699
1.3084 1.5517 4.7699
0.0000 3.3091 2.8377
```

Computed properties:
Total magnetic moment = 0.0 μB per cell
Symmetry = Imma, No. 74
Density = 6.0 g/cm3
VASP energy = -0.5193 Ry/atom
ΔE_f (raw) = -2.17 eV per atom